VASP calculation (PBE) on a geometry-optimized KCdHg2Au structure.

ΔH_f (0 K) = -19.8 kJ per mole of atoms
E = -1.384 eV/atom
relative energy among the computed polymorphs = 0.00 eV/f.u.
DOS(E_F) = 0.32 states/eV/atom

Structure (CIF):
```
data_KCdHg2Au
_chemical_formula_sum 'K2 Cd2 Hg4 Au2'
_space_group_name_H-M_alt 'I m m 2'
_space_group_IT_number 44
_space_group_name_Hall 'I 2 -2'
_cell_length_a 4.636
_cell_length_b 4.748
_cell_length_c 12.958
_cell_angle_alpha 90.00
_cell_angle_beta 90.00
_cell_angle_gamma 90.00
loop_
_atom_site_label
_atom_site_fract_x
_atom_site_fract_y
_atom_site_fract_z
K1 0.000 0.000 0.000
Cd1 0.000 0.500 0.763
Hg1 0.000 0.000 0.612
Hg2 0.000 0.500 0.266
Au1 0.000 0.000 0.396
```